# 1
A plane-wave DFT calculation with GGA-PBEsol was carried out for a relaxed Li2Hg2Pb crystal. Values from VASP.

Geometry as Quantum ESPRESSO input:
```
&SYSTEM
  ibrav = 0, nat = 10, ntyp = 3
/
ATOMIC_SPECIES
Pb 207.20 Pb.upf
Hg 200.59 Hg.upf
Li 6.94 Li.upf
CELL_PARAMETERS angstrom
3.138 0.000 0.000
0.000 8.107 0.000
0.000 0.000 8.107
ATOMIC_POSITIONS crystal
Pb 0.000 0.000 0.000
Pb 0.000 0.500 0.500
Hg 0.000 0.370 0.870
Hg 0.000 0.870 0.630
Hg 0.000 0.630 0.130
Hg 0.000 0.130 0.370
Li 0.500 0.165 0.665
Li 0.500 0.665 0.835
Li 0.500 0.835 0.335
Li 0.500 0.335 0.165
```

- Total moment: 0.0 μB/f.u.
- DOS(E_F): 0.3670 states/eV per atom
- Formation energy from the elements: -310 meV/atom
- Crystal system: tetragonal

# 2
A plane-wave DFT calculation with GGA-PBEsol was carried out for a relaxed BaSi3Pd crystal. Values from VASP.

Geometry as Quantum ESPRESSO input:
```
&SYSTEM
  ibrav = 0, nat = 5, ntyp = 3
/
ATOMIC_SPECIES
Si 28.09 Si.upf
Ba 137.33 Ba.upf
Pd 106.42 Pd.upf
CELL_PARAMETERS angstrom
4.391 0.000 0.000
0.000 4.391 0.000
-2.195 -2.195 5.028
ATOMIC_POSITIONS crystal
Si 0.996 0.996 0.991
Si 0.631 0.131 0.262
Si 0.131 0.631 0.262
Ba 0.386 0.386 0.771
Pd 0.740 0.740 0.481
```

- Total moment: 0.0 μB/f.u.
- DOS(E_F): 0.3351 states/eV per atom
- Formation energy without anion corrections: -0.565 eV per atom
- Crystal system: tetragonal

# 3
A plane-wave DFT calculation with GGA-PBEsol was carried out for a relaxed NiSbOs2 crystal. Values from VASP.

Geometry as Quantum ESPRESSO input:
```
&SYSTEM
  ibrav = 0, nat = 4, ntyp = 3
/
ATOMIC_SPECIES
Ni 58.69 Ni.upf
Os 190.23 Os.upf
Sb 121.76 Sb.upf
CELL_PARAMETERS angstrom
-1.034 -1.034 2.508
-2.372 -1.752 -3.380
3.718 -3.166 0.227
ATOMIC_POSITIONS crystal
Ni 0.500 0.000 0.000
Os 0.757 0.514 0.782
Os 0.243 0.486 0.218
Sb 0.000 0.000 0.500
```

- Total moment: 0.0 μB/f.u.
- DOS(E_F): 0.7524 states/eV per atom
- Formation energy without anion corrections: 0.392 eV per atom
- Crystal system: monoclinic

> Which value of total moment does entry 2 give?

0.0 μB/f.u.

> Which value of DOS(E_F) does entry 2 give?

0.3351 states/eV per atom

Repeat the second record exactly.
A plane-wave DFT calculation with GGA-PBEsol was carried out for a relaxed BaSi3Pd crystal. Values from VASP.

Geometry as Quantum ESPRESSO input:
```
&SYSTEM
  ibrav = 0, nat = 5, ntyp = 3
/
ATOMIC_SPECIES
Si 28.09 Si.upf
Ba 137.33 Ba.upf
Pd 106.42 Pd.upf
CELL_PARAMETERS angstrom
4.391 0.000 0.000
0.000 4.391 0.000
-2.195 -2.195 5.028
ATOMIC_POSITIONS crystal
Si 0.996 0.996 0.991
Si 0.631 0.131 0.262
Si 0.131 0.631 0.262
Ba 0.386 0.386 0.771
Pd 0.740 0.740 0.481
```

- Total moment: 0.0 μB/f.u.
- DOS(E_F): 0.3351 states/eV per atom
- Formation energy without anion corrections: -0.565 eV per atom
- Crystal system: tetragonal

> What is the DOS(E_F) in the third record?

0.7524 states/eV per atom